Material: SrBeCo2
Method: DFT, PBE
State: optimized geometry

```
SrBeCo2
1.0
3.039 0.000 0.000
0.000 3.039 0.000
0.000 0.000 6.713
Be Co Sr
1 2 1
direct
0.500 0.500 0.750
0.000 0.000 0.910
0.000 0.000 0.590
0.500 0.500 0.250
```

Results
crystal system: tetragonal
space group: P4/mmm (123)
DOS(E_F): 0.596 states/eV per atom
DFT total energy: -0.164 Ha/atom



Material: SrIr
Method: DFT, PBE
State: optimized geometry

```
SrIr
1.0
6.329 0.000 0.000
0.000 6.329 0.000
0.000 0.000 6.031
Ir Sr
4 4
direct
0.863 0.137 0.500
0.137 0.863 0.500
0.363 0.363 0.000
0.637 0.637 0.000
0.805 0.195 0.000
0.695 0.695 0.500
0.195 0.805 0.000
0.305 0.305 0.500
```

Results
crystal system: tetragonal
space group: P4_2/mnm (136)
DOS(E_F): 1.017 states/eV per atom
DFT total energy: -0.178 Ha/atom



Material: AcDyTh2
Method: DFT, PBE
State: optimized geometry

```
AcDyTh2
1.0
-0.584 2.580 -2.417
-3.079 1.832 0.043
3.992 10.047 7.102
Th Dy Ac
2 1 1
direct
0.091 0.091 0.727
0.909 0.909 0.273
0.500 0.500 0.500
0.000 0.000 0.000
```

Results
crystal system: trigonal
space group: R-3m (166)
DOS(E_F): 1.548 states/eV per atom
relative energy among the computed polymorphs: 0.135 eV/atom
DFT total energy: -0.207 Ha/atom



Material: YSn2PdPt
Method: DFT, PBE
State: optimized geometry

```
YSn2PdPt
1.0
5.719 0.000 0.000
0.000 5.023 0.000
0.000 0.000 5.719
Pd Y Pt Sn
1 1 1 2
direct
0.500 0.500 0.500
0.000 0.000 0.000
0.000 0.500 0.000
0.000 0.000 0.500
0.500 0.000 0.000
```

Results
crystal system: tetragonal
space group: P4/mmm (123)
DOS(E_F): 0.797 states/eV per atom
DFT total energy: -0.157 Ha/atom



Material: LaTiSb3
Method: DFT, PBE
State: optimized geometry

```
LaTiSb3
1.0
5.925 0.000 0.000
0.000 5.925 0.000
0.000 0.000 5.925
Sb La Ti
3 1 1
direct
0.500 0.000 0.000
0.000 0.500 0.000
0.000 0.000 0.500
0.000 0.000 0.000
0.500 0.500 0.500
```

Results
crystal system: cubic
space group: Pm-3m (221)
DOS(E_F): 1.180 states/eV per atom
DFT total energy: -0.153 Ha/atom



Material: Tb5Er2Tl
Method: DFT, PBE
State: optimized geometry

```
Tb5Er2Tl
1.0
-2.218 -2.263 1.301
-6.036 0.556 -9.324
7.567 -3.948 1.498
Er Tb Tl
2 5 1
direct
0.732 0.232 0.464
0.268 0.768 0.536
0.368 0.136 0.736
0.632 0.864 0.264
0.000 0.500 0.000
0.632 0.400 0.264
0.368 0.600 0.736
0.000 0.000 0.000
```

Results
crystal system: monoclinic
space group: C2/m (12)
DOS(E_F): 1.344 states/eV per atom
relative energy among the computed polymorphs: 0.027 eV/atom
DFT total energy: -0.159 Ha/atom



Material: MgInCl2
Method: DFT, PBE
State: optimized geometry

```
MgInCl2
1.0
-1.347 6.433 9.368
2.116 6.989 8.811
-0.295 8.963 7.108
Cl Mg In
2 1 1
direct
0.125 0.125 0.125
0.875 0.875 0.875
0.500 0.500 0.500
0.000 0.000 0.000
```

Results
crystal system: trigonal
space group: R-3m (166)
DOS(E_F): 0.220 states/eV per atom
relative energy among the computed polymorphs: 0.000 eV/atom
DFT total energy: -0.119 Ha/atom



Material: La2RuCl
Method: DFT, PBE
State: optimized geometry

```
La2RuCl
1.0
0.000 3.622 3.622
3.622 0.000 3.622
3.622 3.622 0.000
La Ru Cl
2 1 1
direct
0.250 0.250 0.250
0.750 0.750 0.750
0.500 0.500 0.500
0.000 0.000 0.000
```

Results
crystal system: cubic
space group: Fm-3m (225)
DOS(E_F): 1.021 states/eV per atom
relative energy among the computed polymorphs: 0.344 eV/atom
DFT total energy: -0.217 Ha/atom



Material: CsAcHg2S4
Method: DFT, PBE
State: optimized geometry

```
CsAcHg2S4
1.0
7.243 0.000 0.000
3.621 6.147 0.057
3.621 0.560 6.122
Hg S Ac Cs
2 4 1 1
direct
0.188 0.312 0.312
0.812 0.688 0.688
0.445 0.128 0.489
0.937 0.489 0.128
0.555 0.511 0.872
0.063 0.872 0.511
0.500 0.500 0.500
0.000 0.000 0.000
```

Results
crystal system: orthorhombic
space group: I222 (23)
DOS(E_F): 0.000 states/eV per atom
DFT total energy: -0.136 Ha/atom



Material: MgMn2Ni
Method: DFT, PBE
State: optimized geometry

```
MgMn2Ni
1.0
-1.522 2.391 -0.822
-0.435 -1.182 -2.632
-5.582 -3.765 -0.616
Mg Ni Mn
1 1 2
direct
0.500 0.756 0.743
0.000 0.525 0.475
0.500 0.259 0.241
0.000 0.960 0.040
```

Results
crystal system: orthorhombic
space group: Pmm2 (25)
DOS(E_F): 0.585 states/eV per atom
DFT total energy: -0.234 Ha/atom



Material: Li4Dy3PaSe8
Method: DFT, PBE
State: optimized geometry

```
Li4Dy3PaSe8
1.0
8.119 0.000 0.000
0.000 8.033 -0.070
-4.060 -4.055 5.743
Se Li Dy Pa
8 4 3 1
direct
0.253 0.757 0.506
0.747 0.243 0.995
0.752 0.757 0.005
0.248 0.245 0.497
0.752 0.755 0.503
0.248 0.243 0.995
0.253 0.757 0.005
0.747 0.243 0.494
0.500 0.000 0.500
0.000 0.000 0.500
0.500 0.000 0.000
0.000 0.000 0.000
0.000 0.500 0.500
0.500 0.500 0.500
0.500 0.500 0.000
0.000 0.500 0.000
```

Results
crystal system: trigonal
space group: R-3m (166)
DOS(E_F): 0.636 states/eV per atom
DFT total energy: -0.193 Ha/atom



Material: Pr2YHg
Method: DFT, PBE
State: optimized geometry

```
Pr2YHg
1.0
3.547 0.000 0.000
1.773 3.072 0.000
1.773 1.024 12.072
Hg Pr Y
1 2 1
direct
0.500 0.500 0.500
0.095 0.095 0.715
0.905 0.905 0.285
0.000 0.000 0.000
```

Results
crystal system: trigonal
space group: R-3m (166)
DOS(E_F): 1.716 states/eV per atom
relative energy among the computed polymorphs: 0.312 eV/atom
DFT total energy: -0.147 Ha/atom